A crystal of OsAuN2F relaxed with PBEsol. Source: Alexandria, functional SCAN.

a b c (Å): 3.9942 3.9942 4.0553
angles (deg): 90.00 90.00 90.00
Sites, in units of the cell vectors:
Os (0.0000, 0.0000, 0.0000)
Au (0.5000, 0.5000, 0.5000)
N (0.0000, 0.5000, 0.5000)
N (0.5000, 0.0000, 0.5000)
F (0.5000, 0.5000, 0.0000)

- Total DFT energy (no corrections): -152.11 eV for the cell shown
- N(E_F): 0.777 states/eV/atom
- Calculated volume: 64.7 Å³ per cell
- Space group: P4/mmm, No. 123

---

A crystal of PAuN2F relaxed with PBEsol. Source: Alexandria, functional SCAN.

a b c (Å): 4.0059 4.0059 4.0827
angles (deg): 90.00 90.00 90.00
Sites, in units of the cell vectors:
P (0.0000, 0.0000, 0.0000)
Au (0.5000, 0.5000, 0.5000)
N (0.0000, 0.5000, 0.5000)
N (0.5000, 0.0000, 0.5000)
F (0.5000, 0.5000, 0.0000)

- Total DFT energy (no corrections): -93.62 eV for the cell shown
- N(E_F): 0.303 states/eV/atom
- Calculated volume: 65.5 Å³ per cell
- Space group: P4/mmm, No. 123

---

A crystal of RbAuN2F relaxed with PBEsol. Source: Alexandria, functional SCAN.

a b c (Å): 5.5271 5.5271 4.8324
angles (deg): 90.00 90.00 90.00
Sites, in units of the cell vectors:
Rb (0.0000, 0.0000, 0.0000)
Au (0.5000, 0.5000, 0.5000)
N (0.0000, 0.5000, 0.0000)
N (0.5000, 0.0000, 0.0000)
F (0.0000, 0.0000, 0.5000)

- Total DFT energy (no corrections): -104.15 eV for the cell shown
- N(E_F): 0.192 states/eV/atom
- Calculated volume: 147.6 Å³ per cell
- Space group: P4/mmm, No. 123

---

Uncorrected formation energy? In order: 2.2104 1.6123 1.5743 eV/atom.